The following is a PBE calculation of BeS5I after structural relaxation, from Alexandria via LeMat-Bulk.

Lattice parameters (Å, degrees): 5.032 23.683 4.187 90.00 118.31 90.00
Space group C2 (No. 5)
Asymmetric unit:
Be 0.000 0.000 0.000
S 0.000 0.227 0.000
S 0.137 0.560 0.771
S 0.165 0.283 0.764
I 0.000 0.943 0.500

The calculation puts the total moment at 0.0 μB per cell. Its total energy is -3.770 eV/atom. The formation energy (no corrections) is -68 meV/atom.